1.
Material: BaAl
Method: DFT, SCAN
State: PBEsol geometry

CIF file:
```
data_BaAl
_space_group_name_H-M_alt 'P n m a'
_space_group_IT_number 62
_space_group_name_Hall '-P 2ac 2n'
_cell_length_a 9.758
_cell_length_b 4.627
_cell_length_c 6.384
_cell_angle_alpha 90.00
_cell_angle_beta 90.00
_cell_angle_gamma 90.00
loop_
_atom_site_label
_atom_site_type_symbol
_atom_site_fract_x
_atom_site_fract_y
_atom_site_fract_z
Ba1 Ba 0.181 0.250 0.087
Al1 Al 0.026 0.250 0.586
```

Values from the calculation:
DFT formation energy = -149 meV per atom
Density of states at the Fermi level = 1.09 states/eV/atom
Energy = -23.800 eV/atom
Size of the total moment = 1.3 μB/cell
Volume = 36.03 Å³/atom

2.
Material: BaBeAl2
Method: DFT, SCAN
State: PBEsol geometry

CIF file:
```
data_BaBeAl2
_space_group_name_H-M_alt 'I m m m'
_space_group_IT_number 71
_space_group_name_Hall '-I 2 2'
_cell_length_a 3.037
_cell_length_b 5.571
_cell_length_c 10.250
_cell_angle_alpha 90.00
_cell_angle_beta 90.00
_cell_angle_gamma 90.00
loop_
_atom_site_label
_atom_site_type_symbol
_atom_site_fract_x
_atom_site_fract_y
_atom_site_fract_z
Ba1 Ba 0.000 0.000 0.000
Be1 Be 0.000 0.000 0.500
Al1 Al 0.000 0.500 0.197
```

Values from the calculation:
DFT formation energy = 412 meV per atom
Density of states at the Fermi level = 0.61 states/eV/atom
Energy = -14.440 eV/atom
Size of the total moment = 0.0 μB/cell
Volume = 21.68 Å³/atom

3.
Material: BaBeAl2
Method: DFT, SCAN
State: PBEsol geometry

CIF file:
```
data_BaBeAl2
_space_group_name_H-M_alt 'P 4/m m m'
_space_group_IT_number 123
_space_group_name_Hall '-P 4 2'
_cell_length_a 3.236
_cell_length_b 3.236
_cell_length_c 7.908
_cell_angle_alpha 90.00
_cell_angle_beta 90.00
_cell_angle_gamma 90.00
loop_
_atom_site_label
_atom_site_type_symbol
_atom_site_fract_x
_atom_site_fract_y
_atom_site_fract_z
Ba1 Ba 0.000 0.000 0.000
Be1 Be 0.000 0.000 0.500
Al1 Al 0.500 0.500 0.331
```

Values from the calculation:
DFT formation energy = 221 meV per atom
Density of states at the Fermi level = 0.35 states/eV/atom
Energy = -14.631 eV/atom
Size of the total moment = 0.2 μB/cell
Volume = 20.70 Å³/atom

4.
Material: BaBe2Al
Method: DFT, SCAN
State: PBEsol geometry

CIF file:
```
data_BaBe2Al
_space_group_name_H-M_alt 'R -3 m'
_space_group_IT_number 166
_space_group_name_Hall '-R 3 2"'
_cell_length_a 4.0408
_cell_length_b 4.0408
_cell_length_c 17.6041
_cell_angle_alpha 90.00
_cell_angle_beta 90.00
_cell_angle_gamma 120.00
loop_
_atom_site_label
_atom_site_type_symbol
_atom_site_fract_x
_atom_site_fract_y
_atom_site_fract_z
Ba1 Ba 0.0000 0.0000 0.0000
Be1 Be 0.0000 0.0000 0.1811
Al1 Al 0.0000 0.0000 0.5000
```

Values from the calculation:
DFT formation energy = 86 meV per atom
Density of states at the Fermi level = 0.50 states/eV/atom
Energy = -13.916 eV/atom
Size of the total moment = 1.8 μB/cell
Volume = 20.74 Å³/atom

5.
Material: BaBe2Al
Method: DFT, SCAN
State: PBEsol geometry

CIF file:
```
data_BaBe2Al
_space_group_name_H-M_alt 'P m m m'
_space_group_IT_number 47
_space_group_name_Hall '-P 2 2'
_cell_length_a 4.199
_cell_length_b 4.204
_cell_length_c 5.323
_cell_angle_alpha 90.00
_cell_angle_beta 90.00
_cell_angle_gamma 90.00
loop_
_atom_site_label
_atom_site_type_symbol
_atom_site_fract_x
_atom_site_fract_y
_atom_site_fract_z
Ba1 Ba 0.000 0.000 0.000
Be1 Be 0.500 0.252 0.500
Al1 Al 0.000 0.500 0.500
```

Values from the calculation:
DFT formation energy = 264 meV per atom
Density of states at the Fermi level = 0.36 states/eV/atom
Energy = -13.738 eV/atom
Size of the total moment = 0.0 μB/cell
Volume = 23.49 Å³/atom

6.
Material: Ba2BeAl
Method: DFT, SCAN
State: PBEsol geometry

CIF file:
```
data_Ba2BeAl
_space_group_name_H-M_alt 'F -4 3 m'
_space_group_IT_number 216
_space_group_name_Hall 'F -4 2 3'
_cell_length_a 7.671
_cell_length_b 7.671
_cell_length_c 7.671
_cell_angle_alpha 90.00
_cell_angle_beta 90.00
_cell_angle_gamma 90.00
loop_
_atom_site_label
_atom_site_type_symbol
_atom_site_fract_x
_atom_site_fract_y
_atom_site_fract_z
Ba1 Ba 0.000 0.000 0.000
Ba2 Ba 0.250 0.250 0.250
Be1 Be 0.000 0.000 0.500
Al1 Al 0.250 0.250 0.750
```

Values from the calculation:
DFT formation energy = 486 meV per atom
Density of states at the Fermi level = 0.70 states/eV/atom
Energy = -22.316 eV/atom
Size of the total moment = 0.0 μB/cell
Volume = 28.21 Å³/atom

7.
Material: BaBe2AlPd
Method: DFT, SCAN
State: PBEsol geometry

CIF file:
```
data_BaBe2AlPd
_space_group_name_H-M_alt 'P 4/m m m'
_space_group_IT_number 123
_space_group_name_Hall '-P 4 2'
_cell_length_a 5.228
_cell_length_b 5.228
_cell_length_c 5.257
_cell_angle_alpha 90.00
_cell_angle_beta 90.00
_cell_angle_gamma 90.00
loop_
_atom_site_label
_atom_site_type_symbol
_atom_site_fract_x
_atom_site_fract_y
_atom_site_fract_z
Ba1 Ba 0.000 0.000 0.000
Be1 Be 0.000 0.500 0.000
Al1 Al 0.500 0.500 0.500
Pd1 Pd 0.000 0.000 0.500
```

Values from the calculation:
DFT formation energy = 1962 meV per atom
Density of states at the Fermi level = 0.51 states/eV/atom
Energy = -15.795 eV/atom
Size of the total moment = 0.0 μB/cell
Volume = 28.73 Å³/atom

8.
Material: BaAlBi2Os
Method: DFT, SCAN
State: PBEsol geometry

CIF file:
```
data_BaAlBi2Os
_space_group_name_H-M_alt 'P 4/m m m'
_space_group_IT_number 123
_space_group_name_Hall '-P 4 2'
_cell_length_a 5.257
_cell_length_b 5.257
_cell_length_c 6.029
_cell_angle_alpha 90.00
_cell_angle_beta 90.00
_cell_angle_gamma 90.00
loop_
_atom_site_label
_atom_site_type_symbol
_atom_site_fract_x
_atom_site_fract_y
_atom_site_fract_z
Ba1 Ba 0.000 0.000 0.000
Al1 Al 0.000 0.000 0.500
Bi1 Bi 0.000 0.500 0.500
Os1 Os 0.500 0.500 0.000
```

Values from the calculation:
DFT formation energy = 1223 meV per atom
Density of states at the Fermi level = 0.57 states/eV/atom
Energy = -54.045 eV/atom
Size of the total moment = 3.2 μB/cell
Volume = 33.32 Å³/atom

9.
Material: BaAlBr2
Method: DFT, SCAN
State: PBEsol geometry

CIF file:
```
data_BaAlBr2
_space_group_name_H-M_alt 'P 4/m m m'
_space_group_IT_number 123
_space_group_name_Hall '-P 4 2'
_cell_length_a 5.125
_cell_length_b 5.125
_cell_length_c 4.366
_cell_angle_alpha 90.00
_cell_angle_beta 90.00
_cell_angle_gamma 90.00
loop_
_atom_site_label
_atom_site_type_symbol
_atom_site_fract_x
_atom_site_fract_y
_atom_site_fract_z
Ba1 Ba 0.000 0.000 0.000
Al1 Al 0.500 0.500 0.000
Br1 Br 0.000 0.500 0.500
```

Values from the calculation:
Distance to the lowest polymorph of the same formula = 12 meV/atom
Density of states at the Fermi level = 0.56 states/eV/atom
Energy = -22.609 eV/atom
Size of the total moment = 0.0 μB/cell
Volume = 28.67 Å³/atom
Energy relative to the elements, uncorrected = -1.054 eV per atom

10.
Material: BaAlBr
Method: DFT, SCAN
State: PBEsol geometry

CIF file:
```
data_BaAlBr
_space_group_name_H-M_alt 'I 4 m m'
_space_group_IT_number 107
_space_group_name_Hall 'I 4 -2'
_cell_length_a 4.444
_cell_length_b 4.444
_cell_length_c 10.389
_cell_angle_alpha 90.00
_cell_angle_beta 90.00
_cell_angle_gamma 90.00
loop_
_atom_site_label
_atom_site_type_symbol
_atom_site_fract_x
_atom_site_fract_y
_atom_site_fract_z
Ba1 Ba 0.000 0.000 0.000
Al1 Al 0.000 0.000 0.663
Br1 Br 0.000 0.000 0.404
```

Values from the calculation:
Distance to the lowest polymorph of the same formula = 0 meV/atom
Density of states at the Fermi level = 0.61 states/eV/atom
Energy = -22.846 eV/atom
Size of the total moment = 0.1 μB/cell
Volume = 34.19 Å³/atom
Energy relative to the elements, uncorrected = -0.592 eV per atom

11.
Material: BaAlBr2
Method: DFT, SCAN
State: PBEsol geometry

CIF file:
```
data_BaAlBr2
_space_group_name_H-M_alt 'C 1 2/m 1'
_space_group_IT_number 12
_space_group_name_Hall '-C 2y'
_cell_length_a 9.762
_cell_length_b 4.299
_cell_length_c 6.306
_cell_angle_alpha 90.00
_cell_angle_beta 99.96
_cell_angle_gamma 90.00
loop_
_atom_site_label
_atom_site_type_symbol
_atom_site_fract_x
_atom_site_fract_y
_atom_site_fract_z
Ba1 Ba 0.000 0.000 0.000
Al1 Al 0.000 0.500 0.500
Br1 Br 0.224 0.500 0.246
```

Values from the calculation:
Distance to the lowest polymorph of the same formula = 0 meV/atom
Density of states at the Fermi level = 0.48 states/eV/atom
Energy = -22.621 eV/atom
Size of the total moment = 0.0 μB/cell
Volume = 32.59 Å³/atom
Energy relative to the elements, uncorrected = -1.066 eV per atom

12.
Material: BaAlBr
Method: DFT, SCAN
State: PBEsol geometry

CIF file:
```
data_BaAlBr
_space_group_name_H-M_alt 'P 3 m 1'
_space_group_IT_number 156
_space_group_name_Hall 'P 3 -2"'
_cell_length_a 4.0407
_cell_length_b 4.0407
_cell_length_c 7.2430
_cell_angle_alpha 90.00
_cell_angle_beta 90.00
_cell_angle_gamma 120.00
loop_
_atom_site_label
_atom_site_type_symbol
_atom_site_fract_x
_atom_site_fract_y
_atom_site_fract_z
Ba1 Ba 0.0000 0.0000 0.0000
Al1 Al 0.6667 0.3333 0.3505
Br1 Br 0.3333 0.6667 0.6894
```

Values from the calculation:
Distance to the lowest polymorph of the same formula = 165 meV/atom
Density of states at the Fermi level = 0.58 states/eV/atom
Energy = -22.681 eV/atom
Size of the total moment = 0.7 μB/cell
Volume = 34.14 Å³/atom
Energy relative to the elements, uncorrected = -0.427 eV per atom

13.
Material: BaCa2Al2
Method: DFT, SCAN
State: PBEsol geometry

CIF file:
```
data_BaCa2Al2
_space_group_name_H-M_alt 'I 4/m m m'
_space_group_IT_number 139
_space_group_name_Hall '-I 4 2'
_cell_length_a 5.523
_cell_length_b 5.523
_cell_length_c 11.682
_cell_angle_alpha 90.00
_cell_angle_beta 90.00
_cell_angle_gamma 90.00
loop_
_atom_site_label
_atom_site_type_symbol
_atom_site_fract_x
_atom_site_fract_y
_atom_site_fract_z
Ba1 Ba 0.000 0.000 0.000
Ca1 Ca 0.000 0.000 0.349
Al1 Al 0.000 0.500 0.250
```

Values from the calculation:
DFT formation energy = 125 meV per atom
Distance to the lowest polymorph of the same formula = 256 meV/atom
Density of states at the Fermi level = 0.79 states/eV/atom
Energy = -14.751 eV/atom
Size of the total moment = 0.0 μB/cell
Volume = 35.63 Å³/atom